Here is a relaxed structure of Rb2PaWO6 from the Alexandria database. Energies are from PBE+U.

```
Rb2PaWO6
1.0
-3.0008 3.0008 4.2697
3.0008 -3.0008 4.2697
3.0008 3.0008 -4.2697
Rb Pa W O
2 1 1 6
direct
0.2500 0.7500 0.5000 Rb
0.7500 0.2500 0.5000 Rb
0.0000 0.0000 0.0000 Pa
0.5000 0.5000 0.0000 W
0.2541 0.2541 0.5082 O
0.2541 0.7459 0.0000 O
0.2722 0.2722 0.0000 O
0.7278 0.7278 0.0000 O
0.7459 0.2541 0.0000 O
0.7459 0.7459 0.4918 O
```

density of states at the Fermi level = 0.000 states/eV per atom
magnetization = 1.0 Bohr magnetons per cell
theoretical density = 7.36 g cm⁻³
final energy = -73.92 eV per formula unit